[1]
# SbPt

Crystalline SbPt at its relaxed geometry (PBEsol, Alexandria).

Structure (CIF):
```
data_SbPt
_chemical_formula_sum 'Sb4 Pt4'
_space_group_name_H-M_alt 'I 41/a m d'
_space_group_IT_number 141
_cell_length_a 4.068
_cell_length_b 4.068
_cell_length_c 9.199
_cell_angle_alpha 90.00
_cell_angle_beta 90.00
_cell_angle_gamma 90.00
loop_
_space_group_symop_operation_xyz
'x,y,z'
'-x,-y,-z'
'-y+1/4,x+3/4,z+1/4'
'y+1/4,-x+3/4,-z+1/4'
'-x+1/2,-y,z+1/2'
'x+1/2,y,-z+1/2'
'y+1/4,-x+1/4,z+3/4'
'-y+1/4,x+1/4,-z+3/4'
'x,-y,-z'
'-x,y,z'
'-y+1/4,-x+1/4,-z+3/4'
'y+1/4,x+1/4,z+3/4'
'-x+1/2,y,-z+1/2'
'x+1/2,-y,z+1/2'
'y+1/4,x+3/4,-z+1/4'
'-y+1/4,-x+3/4,z+1/4'
'x+1/2,y+1/2,z+1/2'
'-x+1/2,-y+1/2,-z+1/2'
'-y+3/4,x+1/4,z+3/4'
'y+3/4,-x+1/4,-z+3/4'
'-x,-y+1/2,z'
'x,y+1/2,-z'
'y+3/4,-x+3/4,z+1/4'
'-y+3/4,x+3/4,-z+1/4'
'x+1/2,-y+1/2,-z+1/2'
'-x+1/2,y+1/2,z+1/2'
'-y+3/4,-x+3/4,-z+1/4'
'y+3/4,x+3/4,z+1/4'
'-x,y+1/2,-z'
'x,-y+1/2,z'
'y+3/4,x+1/4,-z+3/4'
'-y+3/4,-x+1/4,z+3/4'
loop_
_atom_site_label
_atom_site_type_symbol
_atom_site_fract_x
_atom_site_fract_y
_atom_site_fract_z
_atom_site_occupancy
Sb1 Sb 0.000 0.250 0.375 1
Pt1 Pt 0.000 0.250 0.875 1
```

- ρ: 13.83 g/cm3
- Calculated volume: 19.0 A^3/atom
- VASP energy: -5.76 eV per atom
- Raw formation energy: 0.23 kJ/mol of atoms

***

[2]
# SbPt3

Crystalline SbPt3 at its relaxed geometry (PBEsol, Alexandria).

Structure (CIF):
```
data_SbPt3
_chemical_formula_sum 'Sb3 Pt9'
_space_group_name_H-M_alt 'R -3 m'
_space_group_IT_number 166
_space_group_name_Hall '-R 3 2"'
_cell_length_a 3.1049
_cell_length_b 3.1049
_cell_length_c 24.5863
_cell_angle_alpha 90.00
_cell_angle_beta 90.00
_cell_angle_gamma 120.00
loop_
_atom_site_label
_atom_site_type_symbol
_atom_site_fract_x
_atom_site_fract_y
_atom_site_fract_z
_atom_site_occupancy
Sb1 Sb 0.0000 0.0000 0.0000 1
Pt1 Pt 0.0000 0.0000 0.2512 1
Pt2 Pt 0.0000 0.0000 0.5000 1
```

- ρ: 17.16 g/cm3
- Calculated volume: 17.1 A^3/atom
- VASP energy: -6.24 eV per atom
- Raw formation energy: 12.12 kJ/mol of atoms

***

Which value of calculated volume does entry 2 give?
17.1 A^3/atom

***

What did the first record say?
# SbPt

Crystalline SbPt at its relaxed geometry (PBEsol, Alexandria).

Structure (CIF):
```
data_SbPt
_chemical_formula_sum 'Sb4 Pt4'
_space_group_name_H-M_alt 'I 41/a m d'
_space_group_IT_number 141
_cell_length_a 4.068
_cell_length_b 4.068
_cell_length_c 9.199
_cell_angle_alpha 90.00
_cell_angle_beta 90.00
_cell_angle_gamma 90.00
loop_
_space_group_symop_operation_xyz
'x,y,z'
'-x,-y,-z'
'-y+1/4,x+3/4,z+1/4'
'y+1/4,-x+3/4,-z+1/4'
'-x+1/2,-y,z+1/2'
'x+1/2,y,-z+1/2'
'y+1/4,-x+1/4,z+3/4'
'-y+1/4,x+1/4,-z+3/4'
'x,-y,-z'
'-x,y,z'
'-y+1/4,-x+1/4,-z+3/4'
'y+1/4,x+1/4,z+3/4'
'-x+1/2,y,-z+1/2'
'x+1/2,-y,z+1/2'
'y+1/4,x+3/4,-z+1/4'
'-y+1/4,-x+3/4,z+1/4'
'x+1/2,y+1/2,z+1/2'
'-x+1/2,-y+1/2,-z+1/2'
'-y+3/4,x+1/4,z+3/4'
'y+3/4,-x+1/4,-z+3/4'
'-x,-y+1/2,z'
'x,y+1/2,-z'
'y+3/4,-x+3/4,z+1/4'
'-y+3/4,x+3/4,-z+1/4'
'x+1/2,-y+1/2,-z+1/2'
'-x+1/2,y+1/2,z+1/2'
'-y+3/4,-x+3/4,-z+1/4'
'y+3/4,x+3/4,z+1/4'
'-x,y+1/2,-z'
'x,-y+1/2,z'
'y+3/4,x+1/4,-z+3/4'
'-y+3/4,-x+1/4,z+3/4'
loop_
_atom_site_label
_atom_site_type_symbol
_atom_site_fract_x
_atom_site_fract_y
_atom_site_fract_z
_atom_site_occupancy
Sb1 Sb 0.000 0.250 0.375 1
Pt1 Pt 0.000 0.250 0.875 1
```

- ρ: 13.83 g/cm3
- Calculated volume: 19.0 A^3/atom
- VASP energy: -5.76 eV per atom
- Raw formation energy: 0.23 kJ/mol of atoms

***

calculated volume of number 1 (SbPt)?
19.0 A^3/atom